MgF3 | PBE | relaxed

Lattice parameters (Å, degrees): 7.501 7.501 7.501 28.79 28.79 28.79
Fractional positions:
Mg (0.000, 0.000, 0.000)
F (0.081, 0.081, 0.081)
F (0.500, 0.500, 0.500)
F (0.919, 0.919, 0.919)

**Formation energy without anion corrections**: -1220.8 meV per atom
**Uncorrected energy**: -3.02 eV per atom

=====

Hf4AgRh | PBE | relaxed

Lattice parameters (Å, degrees): 3.257 3.257 11.231 90.00 90.00 90.00
Fractional positions:
Hf (0.000, 0.000, 0.147)
Hf (0.000, 0.000, 0.853)
Hf (0.500, 0.500, 0.327)
Hf (0.500, 0.500, 0.673)
Ag (0.000, 0.000, 0.500)
Rh (0.500, 0.500, 0.000)

**Excess energy over the best structure of this formula in the dataset**: 0.00 eV per formula unit
**Uncorrected energy**: -8.71 eV per atom
**Calculated formation energy**: -0.37 eV/atom

=====

CaLu2P | PBE | relaxed

Lattice parameters (Å, degrees): 10.191 10.191 10.191 21.16 21.16 21.16
Fractional positions:
Ca (0.000, 0.000, 0.000)
Lu (0.114, 0.114, 0.114)
Lu (0.886, 0.886, 0.886)
P (0.500, 0.500, 0.500)

**Uncorrected energy**: -4.66 eV per atom
**Calculated formation energy**: -0.55 eV/atom